1.
VASP calculation (PBE) on a relaxed structure of La2Cu2Se.

a = 8.093 Å, b = 8.093 Å, c = 4.060 Å
α = 90.00°, β = 90.00°, γ = 90.00°
Element x y z (fractional)
Cu 0.606 0.894 0.500
Cu 0.894 0.394 0.500
Cu 0.106 0.606 0.500
Cu 0.394 0.106 0.500
La 0.818 0.682 0.000
La 0.318 0.818 0.000
La 0.682 0.182 0.000
La 0.182 0.318 0.000
Se 0.000 0.000 0.000
Se 0.500 0.500 0.000

distance to the lowest polymorph of the same formula: 63 meV/atom
size of the total moment: 0.000 μB/atom



2.
VASP calculation (PBE) on a relaxed structure of LaCuSe.

a = 4.672 Å, b = 4.672 Å, c = 4.672 Å
α = 60.00°, β = 60.00°, γ = 60.00°
Element x y z (fractional)
Cu 0.750 0.750 0.750
Se 0.500 0.500 0.500
La 0.000 0.000 0.000

distance to the lowest polymorph of the same formula: 277 meV/atom
size of the total moment: 0.000 μB/atom



3.
VASP calculation (PBE) on a relaxed structure of LaCuSe.

a = 4.946 Å, b = 4.946 Å, c = 4.946 Å
α = 60.00°, β = 60.00°, γ = 60.00°
Element x y z (fractional)
La 0.750 0.750 0.750
Cu 0.500 0.500 0.500
Se 0.000 0.000 0.000

distance to the lowest polymorph of the same formula: 218 meV/atom
size of the total moment: 0.000 μB/atom



4.
VASP calculation (PBE) on a relaxed structure of LaCu2Se.

a = 3.758 Å, b = 3.759 Å, c = 5.918 Å
α = 90.03°, β = 90.00°, γ = 90.00°
Element x y z (fractional)
Cu 0.000 0.875 0.100
Cu 0.500 0.375 0.100
La 0.000 0.375 0.536
Se 0.500 0.875 0.763

size of the total moment: 0.000 μB/atom



5.
VASP calculation (PBE) on a relaxed structure of LaCuSe.

a = 5.317 Å, b = 5.317 Å, c = 3.949 Å
α = 68.21°, β = 68.19°, γ = 43.60°
Element x y z (fractional)
La 0.331 0.331 0.669
Cu 0.997 0.997 0.003
Se 0.672 0.672 0.328

distance to the lowest polymorph of the same formula: 215 meV/atom
size of the total moment: 0.000 μB/atom



6.
VASP calculation (PBE) on a relaxed structure of La4CuSe3.

a = 7.430 Å, b = 7.528 Å, c = 8.628 Å
α = 90.00°, β = 90.00°, γ = 109.50°
Element x y z (fractional)
Cu 0.250 0.000 0.124
Cu 0.750 0.000 0.876
La 0.500 0.750 0.124
La 0.000 0.753 0.373
La 0.500 0.250 0.876
La 0.000 0.250 0.124
La 0.500 0.753 0.627
La 0.500 0.247 0.373
La 0.000 0.750 0.876
La 0.000 0.247 0.627
Se 0.250 0.000 0.625
Se 0.750 0.000 0.375
Se 0.250 0.500 0.874
Se 0.250 0.500 0.378
Se 0.750 0.500 0.126
Se 0.750 0.500 0.622

size of the total moment: 0.000 μB/atom



7.
VASP calculation (PBE) on a relaxed structure of LaCu4Se.

a = 5.240 Å, b = 5.240 Å, c = 5.240 Å
α = 60.00°, β = 60.00°, γ = 60.00°
Element x y z (fractional)
Cu 0.374 0.374 0.374
Cu 0.374 0.374 0.877
Cu 0.374 0.877 0.374
Cu 0.877 0.374 0.374
La 0.750 0.750 0.750
Se 0.000 0.000 0.000

size of the total moment: 0.000 μB/atom



8.
VASP calculation (PBE) on a relaxed structure of LaCu3Se3.

a = 7.111 Å, b = 7.111 Å, c = 8.001 Å
α = 63.62°, β = 63.62°, γ = 60.00°
Element x y z (fractional)
Cu 0.128 0.474 0.628
Cu 0.872 0.526 0.372
Cu 0.526 0.229 0.372
Cu 0.771 0.128 0.628
Cu 0.229 0.872 0.372
Cu 0.474 0.771 0.628
Se 0.409 0.086 0.739
Se 0.914 0.234 0.261
Se 0.591 0.914 0.261
Se 0.234 0.591 0.261
Se 0.086 0.766 0.739
Se 0.766 0.409 0.739
La 0.666 0.666 0.000
La 0.334 0.334 0.000

size of the total moment: 0.000 μB/atom



9.
VASP calculation (PBE) on a relaxed structure of LaCuSe.

a = 4.735 Å, b = 4.735 Å, c = 8.571 Å
α = 73.96°, β = 73.96°, γ = 60.00°
Element x y z (fractional)
La 0.581 0.581 0.257
La 0.419 0.419 0.743
Se 0.713 0.713 0.861
Se 0.287 0.287 0.139
Cu 0.172 0.172 0.484
Cu 0.828 0.828 0.516

distance to the lowest polymorph of the same formula: 0 meV/atom
size of the total moment: 0.000 μB/atom



10.
VASP calculation (PBE) on a relaxed structure of LaCu2Se.

a = 4.398 Å, b = 4.398 Å, c = 5.727 Å
α = 74.57°, β = 74.57°, γ = 56.31°
Element x y z (fractional)
La 0.534 0.534 0.469
Se 0.779 0.779 0.799
Cu 0.255 0.255 0.107
Cu 0.932 0.932 0.125

size of the total moment: 0.000 μB/atom



11.
VASP calculation (PBE) on a relaxed structure of La2CuSe3.

a = 4.055 Å, b = 4.589 Å, c = 8.821 Å
α = 105.08°, β = 103.29°, γ = 90.00°
Element x y z (fractional)
Se 0.825 0.825 0.651
Se 0.000 0.500 0.000
Se 0.175 0.175 0.349
La 0.640 0.640 0.279
La 0.360 0.360 0.721
Cu 0.000 0.000 0.000

size of the total moment: 0.000 μB/atom



12.
VASP calculation (PBE) on a relaxed structure of LaCu2Se.

a = 4.148 Å, b = 4.150 Å, c = 4.908 Å
α = 90.00°, β = 90.00°, γ = 90.00°
Element x y z (fractional)
Cu 0.500 0.500 0.000
Cu 0.000 0.000 0.000
La 0.500 0.000 0.500
Se 0.000 0.500 0.500

size of the total moment: 0.000 μB/atom



Number 1: E_tot -4.86 eV per atom, formation energy without anion corrections -0.556 eV per atom, density 6044 kg/m³. Number 2: E_tot -4.88 eV per atom, formation energy without anion corrections -0.715 eV per atom, density 6481 kg/m³. Number 3: E_tot -4.94 eV per atom, formation energy without anion corrections -0.775 eV per atom, density 5463 kg/m³. Number 4: E_tot -4.66 eV per atom, formation energy without anion corrections -0.504 eV per atom, density 6853 kg/m³. Number 5: E_tot -4.95 eV per atom, formation energy without anion corrections -0.778 eV per atom, density 6622 kg/m³. Number 6: E_tot -5.78 eV per atom, formation energy without anion corrections -1.500 eV per atom, density 6249 kg/m³. Number 7: E_tot -4.34 eV per atom, formation energy without anion corrections -0.203 eV per atom, density 7704 kg/m³. Number 8: E_tot -4.74 eV per atom, formation energy without anion corrections -0.791 eV per atom, density 6255 kg/m³. Number 9: E_tot -5.16 eV per atom, formation energy without anion corrections -0.992 eV per atom, density 5925 kg/m³. Number 10: E_tot -4.69 eV per atom, formation energy without anion corrections -0.538 eV per atom, density 6518 kg/m³. Number 11: E_tot -5.59 eV per atom, formation energy without anion corrections -1.520 eV per atom, density 6238 kg/m³. Number 12: E_tot -4.55 eV per atom, formation energy without anion corrections -0.400 eV per atom, density 6780 kg/m³.